# 1
The following is a GGA-PBE calculation of crystalline ZnIn2Ge2Rh5 at its relaxed geometry, from Alexandria.

Properties
Formation energy from the elements ... -0.2954 eV/atom
Crystal system ... tetragonal

Lattice parameters (Å, degrees): 3.4210 9.7244 9.7244 90.00 90.00 90.00
Closest atoms and distances in Å follow each position.
Element x y z (fractional)
Zn 0.0000 0.0000 0.0000  8 Rh 2.68
Zn 0.0000 0.5000 0.5000  8 Rh 2.68
In 0.0000 0.6694 0.1694  3 Ge 2.73-2.95, 6 Rh 2.89-2.93
In 0.0000 0.3306 0.8306  3 Ge 2.73-2.95, 6 Rh 2.89-2.93
In 0.0000 0.1694 0.3306  3 Ge 2.73-2.95, 6 Rh 2.89-2.93
In 0.0000 0.8306 0.6694  3 Ge 2.73-2.95, 6 Rh 2.89-2.93
Ge 0.0000 0.1319 0.6319  6 Rh 2.45-2.49, 1 In 2.73
Ge 0.0000 0.8681 0.3681  6 Rh 2.45-2.49, 1 In 2.73
Ge 0.0000 0.6319 0.8681  6 Rh 2.45-2.49, 1 In 2.73
Ge 0.0000 0.3681 0.1319  6 Rh 2.45-2.49, 1 In 2.73
Rh 0.5000 0.1940 0.0874  2 Ge 2.45, 2 Zn 2.68
Rh 0.5000 0.8060 0.9126  2 Ge 2.45, 2 Zn 2.68
Rh 0.5000 0.0874 0.8060  2 Ge 2.45, 2 Zn 2.68
Rh 0.5000 0.6940 0.4126  2 Ge 2.45, 2 Zn 2.68
Rh 0.5000 0.9126 0.1940  2 Ge 2.45, 2 Zn 2.68
Rh 0.5000 0.3060 0.5874  2 Ge 2.45, 2 Zn 2.68
Rh 0.5000 0.5874 0.6940  2 Ge 2.45, 2 Zn 2.68
Rh 0.5000 0.4126 0.3060  2 Ge 2.45, 2 Zn 2.68
Rh 0.5000 0.5000 0.0000  4 Ge 2.49
Rh 0.5000 0.0000 0.5000  4 Ge 2.49

***

# 2
The following is a GGA-PBE calculation of crystalline InGeRu2 at its relaxed geometry, from Alexandria.

Properties
Formation energy from the elements ... -0.0074 eV/atom
Crystal system ... tetragonal

Lattice parameters (Å, degrees): 3.1516 4.4334 4.4334 90.00 90.00 90.00
Closest atoms and distances in Å follow each position.
Element x y z (fractional)
Ru 0.0000 0.0000 0.5000  4 Ge 2.72, 4 In 2.72
Ru 0.0000 0.5000 0.0000  4 Ge 2.72, 4 In 2.72
Ge 0.5000 0.5000 0.5000  8 Ru 2.72
In 0.5000 0.0000 0.0000  8 Ru 2.72

***

# 3
The following is a GGA-PBE calculation of crystalline InGe2Ru at its relaxed geometry, from Alexandria.

Properties
Formation energy from the elements ... 0.3651 eV/atom
Crystal system ... tetragonal

Lattice parameters (Å, degrees): 6.1289 6.1289 6.9852 63.98 63.98 90.00
Closest atoms and distances in Å follow each position.
Element x y z (fractional)
Ru 0.5000 0.5000 0.0000  4 Ge 2.36
Ru 0.2500 0.7500 0.5000  4 Ge 2.36
Ge 0.5640 0.1250 0.2500  2 Ru 2.36
Ge 0.1860 0.6250 0.2500  2 Ru 2.36
Ge 0.3750 0.4360 0.7500  2 Ru 2.36
Ge 0.8750 0.8140 0.7500  2 Ru 2.36
In 0.0000 0.0000 0.0000  4 Ge 2.80
In 0.7500 0.2500 0.5000  4 Ge 2.80

***

# 4
The following is a GGA-PBE calculation of crystalline In2GeRu at its relaxed geometry, from Alexandria.

Properties
Formation energy from the elements ... -0.0030 eV/atom
Crystal system ... tetragonal

Lattice parameters (Å, degrees): 10.1770 10.1770 7.5711 47.77 47.77 90.00
Closest atoms and distances in Å follow each position.
Element x y z (fractional)
Ru 0.0000 0.0000 0.0000  2 Ge 2.35, 4 In 2.61
Ru 0.7500 0.2500 0.5000  2 Ge 2.35, 4 In 2.61
Ge 0.5000 0.5000 0.0000  2 Ru 2.35
Ge 0.2500 0.7500 0.5000  2 Ru 2.35
In 0.8749 0.1250 0.2500  2 Ru 2.61
In 0.8751 0.6250 0.2500  2 Ru 2.61
In 0.3750 0.1251 0.7500  2 Ru 2.61
In 0.8750 0.1249 0.7500  2 Ru 2.61

***

# 5
The following is a GGA-PBE calculation of crystalline InGeRu2 at its relaxed geometry, from Alexandria.

Properties
Formation energy from the elements ... 0.3688 eV/atom
Crystal system ... tetragonal

Lattice parameters (Å, degrees): 7.0357 7.0357 5.7318 52.14 52.14 90.00
Closest atoms and distances in Å follow each position.
Element x y z (fractional)
Ru 0.5744 0.1250 0.2500  2 Ge 2.36
Ru 0.1756 0.6250 0.2500  2 Ge 2.36
Ru 0.3750 0.4256 0.7500  2 Ge 2.36
Ru 0.8750 0.8244 0.7500  2 Ge 2.36
Ge 0.5000 0.5000 0.0000  4 Ru 2.36
Ge 0.2500 0.7500 0.5000  4 Ru 2.36
In 0.0000 0.0000 0.0000  8 Ru 2.84-3.10, 2 Ge 2.85
In 0.7500 0.2500 0.5000  8 Ru 2.84-3.10, 2 Ge 2.85

***

# 6
The following is a GGA-PBE calculation of crystalline InGe2Ru at its relaxed geometry, from Alexandria.

Properties
Formation energy from the elements ... -0.0289 eV/atom
Crystal system ... trigonal

Lattice parameters (Å, degrees): 3.1455 3.1455 9.2578 80.22 80.22 60.00
Closest atoms and distances in Å follow each position.
Element x y z (fractional)
Ru 0.5000 0.5000 0.5000  6 Ge 2.53
Ge 0.1022 0.1022 0.6935  3 Ru 2.53, 1 In 2.78
Ge 0.8978 0.8978 0.3065  3 Ru 2.53, 1 In 2.78
In 0.0000 0.0000 0.0000  2 Ge 2.78

***

# 7
The following is a GGA-PBE calculation of crystalline In2Ge2Ru at its relaxed geometry, from Alexandria.

Properties
Formation energy from the elements ... 0.1693 eV/atom
Crystal system ... tetragonal

Lattice parameters (Å, degrees): 6.5264 6.5264 4.7071 90.00 90.00 90.00
Closest atoms and distances in Å follow each position.
Element x y z (fractional)
Ru 0.0000 0.0000 0.0000  4 Ge 2.51
Ru 0.5000 0.5000 0.0000  4 Ge 2.51
Ge 0.3581 0.8581 0.0000  2 Ru 2.51, 1 Ge 2.62
Ge 0.8581 0.6419 0.0000  2 Ru 2.51, 1 Ge 2.62
Ge 0.6419 0.1419 0.0000  2 Ru 2.51, 1 Ge 2.62
Ge 0.1419 0.3581 0.0000  2 Ru 2.51, 1 Ge 2.62
In 0.1806 0.6806 0.5000  6 Ge 2.87-3.17
In 0.6806 0.8194 0.5000  6 Ge 2.87-3.17
In 0.8194 0.3194 0.5000  6 Ge 2.87-3.17
In 0.3194 0.1806 0.5000  6 Ge 2.87-3.17

***

# 8
The following is a GGA-PBE calculation of crystalline In3GeRu at its relaxed geometry, from Alexandria.

Properties
Formation energy from the elements ... 0.3989 eV/atom
Crystal system ... cubic
Excess energy over the best structure of this formula in the dataset ... 0 meV per atom

Lattice parameters (Å, degrees): 5.1373 5.1373 5.1373 90.00 90.00 90.00
Closest atoms and distances in Å follow each position.
Element x y z (fractional)
Ru 0.0000 0.0000 0.0000  6 In 2.57
Ge 0.5000 0.5000 0.5000  12 In 3.63
In 0.0000 0.5000 0.0000  2 Ru 2.57
In 0.0000 0.0000 0.5000  2 Ru 2.57
In 0.5000 0.0000 0.0000  2 Ru 2.57

***

# 9
The following is a GGA-PBE calculation of crystalline In3GeRu at its relaxed geometry, from Alexandria.

Properties
Formation energy from the elements ... 1.1348 eV/atom
Crystal system ... cubic
Excess energy over the best structure of this formula in the dataset ... 736 meV per atom

Lattice parameters (Å, degrees): 5.2074 5.2074 5.2074 90.00 90.00 90.00
Closest atoms and distances in Å follow each position.
Element x y z (fractional)
Ru 0.5000 0.5000 0.5000  12 In 3.68
Ge 0.0000 0.0000 0.0000  6 In 2.60
In 0.0000 0.5000 0.0000  2 Ge 2.60
In 0.0000 0.0000 0.5000  2 Ge 2.60
In 0.5000 0.0000 0.0000  2 Ge 2.60

***

# 10
The following is a GGA-PBE calculation of crystalline InGeRu2 at its relaxed geometry, from Alexandria.

Properties
Formation energy from the elements ... -0.0975 eV/atom
Crystal system ... tetragonal

Lattice parameters (Å, degrees): 3.0927 3.0927 6.4582 90.00 90.00 90.00
Closest atoms and distances in Å follow each position.
Element x y z (fractional)
Ru 0.0000 0.0000 0.7788  4 Ge 2.61, 4 In 2.83, 1 Ru 2.86
Ru 0.0000 0.0000 0.2212  4 Ge 2.61, 4 In 2.83, 1 Ru 2.86
Ge 0.5000 0.5000 0.0000  8 Ru 2.61
In 0.5000 0.5000 0.5000  8 Ru 2.83, 4 In 3.09

***

# 11
The following is a GGA-PBE calculation of crystalline ScInGe2Ru at its relaxed geometry, from Alexandria.

Properties
Formation energy from the elements ... 1.3948 eV/atom
Crystal system ... tetragonal

Lattice parameters (Å, degrees): 5.0349 5.3311 5.0349 90.00 90.00 90.00
Closest atoms and distances in Å follow each position.
Element x y z (fractional)
Sc 0.0000 0.5000 0.0000  2 In 2.67
Ru 0.5000 0.5000 0.5000  4 Sc 3.56, 8 Ge 3.67
Ge 0.0000 0.0000 0.5000  2 In 2.52
Ge 0.5000 0.0000 0.0000  2 In 2.52
In 0.0000 0.0000 0.0000  4 Ge 2.52, 2 Sc 2.67

***

# 12
The following is a GGA-PBE calculation of crystalline InSn2GeRu at its relaxed geometry, from Alexandria.

Properties
Formation energy from the elements ... 0.6754 eV/atom
Crystal system ... tetragonal

Lattice parameters (Å, degrees): 5.3673 4.6558 5.3673 90.00 90.00 90.00
Closest atoms and distances in Å follow each position.
Element x y z (fractional)
Ru 0.0000 0.5000 0.0000  2 Ge 2.33
Ge 0.0000 0.0000 0.0000  2 Ru 2.33
Sn 0.0000 0.0000 0.5000  2 Ge 2.68
Sn 0.5000 0.0000 0.0000  2 Ge 2.68
In 0.5000 0.5000 0.5000  8 Sn 3.55, 4 Ru 3.80

***

| no. | spin magnetization (μB/f.u.) |
| --- | --- |
| 1 | 0.00 |
| 2 | 0.00 |
| 3 | 0.00 |
| 4 | 0.00 |
| 5 | 0.00 |
| 6 | 0.01 |
| 7 | 0.00 |
| 8 | 1.12 |
| 9 | 2.05 |
| 10 | 0.00 |
| 11 | 2.22 |
| 12 | 0.00 |